First-principles (PBE) data for crystalline CsH3Se3 at its relaxed geometry, as listed in Alexandria via LeMat-Bulk.

**Total moment**: 1.844 μB per cell
**Total energy**: -3.0520 eV/atom
**Crystal system**: trigonal

Unit cell a=6.8475 b=6.8475 c=28.5318 alpha=90.00 beta=90.00 gamma=120.00
Space group R-3 (No. 148, hexagonal axes)
Asymmetric unit:
Cs: 0.0000 0.0000 0.1659 [6 per cell]
H: 0.0030 0.7140 0.4154 [18 per cell]
Se: 0.0023 0.5174 0.3923 [18 per cell]

---

First-principles (PBE) data for crystalline Sr3BPd at its relaxed geometry, as listed in Alexandria via LeMat-Bulk.

**Distance to the lowest polymorph of the same formula**: 0 meV/atom
**Total moment**: 0.000 μB per cell
**Total energy**: -3.1202 eV/atom
**Crystal system**: cubic

Unit cell a=5.490 b=5.490 c=5.490 alpha=90.00 beta=90.00 gamma=90.00
Space group Pm-3m (No. 221)
Asymmetric unit:
Sr: 0.000 0.000 0.500 [3 per cell]
B: 0.000 0.000 0.000 [1 per cell]
Pd: 0.500 0.500 0.500 [1 per cell]

---

First-principles (PBE) data for crystalline CeScIrOs at its relaxed geometry, as listed in Alexandria via LeMat-Bulk.

**Total moment**: 0.001 μB per cell
**Total energy**: -8.5702 eV/atom
**Crystal system**: cubic

Unit cell a=6.729 b=6.729 c=6.729 alpha=90.00 beta=90.00 gamma=90.00
Space group F-43m (No. 216)
Asymmetric unit:
Ce: 0.000 0.000 0.000 [4 per cell]
Sc: 0.000 0.000 0.500 [4 per cell]
Ir: 0.250 0.250 0.750 [4 per cell]
Os: 0.250 0.250 0.250 [4 per cell]

---

First-principles (PBE) data for crystalline CeZrSb at its relaxed geometry, as listed in Alexandria via LeMat-Bulk.

**Total moment**: 1.919 μB per cell
**Total energy**: -6.6505 eV/atom
**Crystal system**: tetragonal

Unit cell a=3.845 b=3.845 c=10.680 alpha=90.00 beta=90.00 gamma=90.00
Space group I4mm (No. 107)
Asymmetric unit:
Ce: 0.000 0.000 0.000 [2 per cell]
Zr: 0.000 0.000 0.300 [2 per cell]
Sb: 0.000 0.000 0.684 [2 per cell]

---

First-principles (PBE) data for crystalline NaAlSn at its relaxed geometry, as listed in Alexandria via LeMat-Bulk.

**Total moment**: 0.000 μB per cell
**Total energy**: -3.1135 eV/atom
**Crystal system**: hexagonal

Unit cell a=4.7287 b=4.7287 c=7.5401 alpha=90.00 beta=90.00 gamma=120.00
Space group P-6m2 (No. 187)
Asymmetric unit:
Na: 0.0000 0.0000 0.0000 [1 per cell]
Na: 0.0000 0.0000 0.5000 [1 per cell]
Al: 0.6667 0.3333 0.1845 [2 per cell]
Sn: 0.3333 0.6667 0.2909 [2 per cell]

---

First-principles (PBE) data for crystalline Na2UI6 at its relaxed geometry, as listed in Alexandria via LeMat-Bulk.

**Distance to the lowest polymorph of the same formula**: 25 meV/atom
**Total moment**: 6.000 μB per cell
**Total energy**: -3.5831 eV/atom
**Crystal system**: trigonal

Unit cell a=7.9027 b=7.9027 c=22.1225 alpha=90.00 beta=90.00 gamma=120.00
Space group R3 (No. 146, hexagonal axes)
Asymmetric unit:
Na: 0.0000 0.0000 0.0000 [3 per cell]
Na: 0.0000 0.0000 0.1819 [3 per cell]
U: 0.0000 0.0000 0.6765 [3 per cell]
I: 0.0123 0.6489 0.4218 [9 per cell]
I: 0.0280 0.3579 0.2609 [9 per cell]

---

First-principles (PBE) data for crystalline Ca2MgSb2 at its relaxed geometry, as listed in Alexandria via LeMat-Bulk.

**Total moment**: 0.000 μB per cell
**Total energy**: -3.6276 eV/atom
**Crystal system**: monoclinic

Unit cell a=9.566 b=8.230 c=7.759 alpha=90.00 beta=92.71 gamma=90.00
Space group P2_1/c (No. 14)
Asymmetric unit:
Ca: 0.089 0.250 0.011 [4 per cell]
Ca: 0.340 0.704 0.489 [4 per cell]
Mg: 0.378 0.086 0.340 [4 per cell]
Sb: 0.125 0.568 0.752 [4 per cell]
Sb: 0.376 0.090 0.724 [4 per cell]

---

First-principles (PBE) data for crystalline Pm5YTl4 at its relaxed geometry, as listed in Alexandria via LeMat-Bulk.

**Distance to the lowest polymorph of the same formula**: 0 meV/atom
**Total moment**: 0.000 μB per cell
**Total energy**: -4.2626 eV/atom
**Crystal system**: tetragonal

Unit cell a=3.687 b=3.687 c=22.261 alpha=90.00 beta=90.00 gamma=90.00
Space group P4/mmm (No. 123)
Asymmetric unit:
Pm: 0.000 0.000 0.000 [1 per cell]
Pm: 0.000 0.000 0.193 [2 per cell]
Pm: 0.000 0.000 0.386 [2 per cell]
Y: 0.500 0.500 0.500 [1 per cell]
Tl: 0.500 0.500 0.097 [2 per cell]
Tl: 0.500 0.500 0.290 [2 per cell]

---

First-principles (PBE) data for crystalline LiInHPd2 at its relaxed geometry, as listed in Alexandria via LeMat-Bulk.

**Distance to the lowest polymorph of the same formula**: 0 meV/atom
**Total moment**: 0.000 μB per cell
**Total energy**: -4.1687 eV/atom
**Crystal system**: tetragonal

Unit cell a=4.048 b=4.048 c=3.996 alpha=90.00 beta=90.00 gamma=90.00
Space group P4/mmm (No. 123)
Asymmetric unit:
Li: 0.000 0.000 0.000 [1 per cell]
In: 0.500 0.500 0.000 [1 per cell]
H: 0.000 0.000 0.500 [1 per cell]
Pd: 0.000 0.500 0.500 [2 per cell]

---

First-principles (PBE) data for crystalline CaZn2Os at its relaxed geometry, as listed in Alexandria via LeMat-Bulk.

**Total moment**: 0.000 μB per cell
**Total energy**: -3.7582 eV/atom
**Crystal system**: monoclinic

Unit cell a=9.163 b=2.825 c=5.569 alpha=90.00 beta=97.74 gamma=90.00
Space group C2/m (No. 12)
Asymmetric unit:
Ca: 0.000 0.000 0.000 [2 per cell]
Zn: 0.236 0.000 0.694 [4 per cell]
Os: 0.000 0.500 0.500 [2 per cell]

---

First-principles (PBE) data for crystalline HfNbSn4 at its relaxed geometry, as listed in Alexandria via LeMat-Bulk.

**Total moment**: 0.000 μB per cell
**Total energy**: -6.1582 eV/atom
**Crystal system**: tetragonal

Unit cell a=7.036 b=7.036 c=11.599 alpha=90.00 beta=90.00 gamma=90.00
Space group I4/mcm (No. 140)
Asymmetric unit:
Hf: 0.000 0.000 0.000 [4 per cell]
Nb: 0.000 0.000 0.250 [4 per cell]
Sn: 0.156 0.344 0.135 [16 per cell]

---

First-principles (PBE) data for crystalline Ho3GaAg2 at its relaxed geometry, as listed in Alexandria via LeMat-Bulk.

**Total moment**: 0.000 μB per cell
**Total energy**: -4.1626 eV/atom
**Crystal system**: trigonal

Unit cell a=5.0916 b=5.0916 c=6.2497 alpha=90.00 beta=90.00 gamma=120.00
Space group P-3m1 (No. 164)
Asymmetric unit:
Ho: 0.0000 0.0000 0.0000 [1 per cell]
Ho: 0.3333 0.6667 0.6645 [2 per cell]
Ga: 0.0000 0.0000 0.5000 [1 per cell]
Ag: 0.3333 0.6667 0.1709 [2 per cell]

---

First-principles (PBE) data for crystalline SmMnPd4 at its relaxed geometry, as listed in Alexandria via LeMat-Bulk.

**Total moment**: 19.533 μB per cell
**Total energy**: -6.2240 eV/atom
**Crystal system**: cubic

Unit cell a=7.577 b=7.577 c=7.577 alpha=90.00 beta=90.00 gamma=90.00
Space group F-43m (No. 216)
Asymmetric unit:
Sm: 0.000 0.000 0.000 [4 per cell]
Mn: 0.250 0.250 0.750 [4 per cell]
Pd: 0.124 0.124 0.376 [16 per cell]

---

First-principles (PBE) data for crystalline NaPm2AgO4 at its relaxed geometry, as listed in Alexandria via LeMat-Bulk.

**Total moment**: 0.000 μB per cell
**Total energy**: -6.4218 eV/atom
**Crystal system**: tetragonal

Unit cell a=4.956 b=4.956 c=9.491 alpha=90.00 beta=90.00 gamma=90.00
Space group I4/mmm (No. 139)
Asymmetric unit:
Na: 0.000 0.000 0.000 [2 per cell]
Pm: 0.000 0.500 0.250 [4 per cell]
Ag: 0.000 0.000 0.500 [2 per cell]
O: 0.000 0.000 0.237 [4 per cell]
O: 0.000 0.500 0.000 [4 per cell]

---

First-principles (PBE) data for crystalline PuTl2O3 at its relaxed geometry, as listed in Alexandria via LeMat-Bulk.

**Total moment**: 7.262 μB per cell
**Total energy**: -7.4546 eV/atom
**Crystal system**: orthorhombic

Unit cell a=3.521 b=4.259 c=16.982 alpha=90.00 beta=90.00 gamma=90.00
Space group Immm (No. 71)
Asymmetric unit:
Pu: 0.000 0.000 0.000 [2 per cell]
Tl: 0.000 0.000 0.337 [4 per cell]
O: 0.000 0.500 0.000 [2 per cell]
O: 0.000 0.500 0.419 [4 per cell]

---

First-principles (PBE) data for crystalline NbFe3Pb at its relaxed geometry, as listed in Alexandria via LeMat-Bulk.

**Distance to the lowest polymorph of the same formula**: 0 meV/atom
**Total moment**: 5.450 μB per cell
**Total energy**: -6.5352 eV/atom
**Crystal system**: cubic

Unit cell a=4.638 b=4.638 c=4.638 alpha=90.00 beta=90.00 gamma=90.00
Space group Pm-3m (No. 221)
Asymmetric unit:
Nb: 0.000 0.000 0.000 [1 per cell]
Fe: 0.000 0.000 0.500 [3 per cell]
Pb: 0.500 0.500 0.500 [1 per cell]

---

First-principles (PBE) data for crystalline CdIn2CoPb at its relaxed geometry, as listed in Alexandria via LeMat-Bulk.

**Distance to the lowest polymorph of the same formula**: 0 meV/atom
**Total moment**: 0.000 μB per cell
**Total energy**: -3.3263 eV/atom
**Crystal system**: tetragonal

Unit cell a=5.034 b=5.034 c=5.036 alpha=90.00 beta=90.00 gamma=90.00
Space group P4/mmm (No. 123)
Asymmetric unit:
Cd: 0.000 0.000 0.000 [1 per cell]
In: 0.000 0.500 0.500 [2 per cell]
Co: 0.500 0.500 0.500 [1 per cell]
Pb: 0.500 0.500 0.000 [1 per cell]

---

First-principles (PBE) data for crystalline Ta4AsAu at its relaxed geometry, as listed in Alexandria via LeMat-Bulk.

**Total moment**: 0.000 μB per cell
**Total energy**: -8.6908 eV/atom
**Crystal system**: cubic

Unit cell a=7.726 b=7.726 c=7.726 alpha=90.00 beta=90.00 gamma=90.00
Space group F-43m (No. 216)
Asymmetric unit:
Ta: 0.125 0.125 0.125 [16 per cell]
As: 0.250 0.250 0.750 [4 per cell]
Au: 0.000 0.000 0.500 [4 per cell]

---

First-principles (PBE) data for crystalline Mg2PaGa at its relaxed geometry, as listed in Alexandria via LeMat-Bulk.

**Total moment**: 1.564 μB per cell
**Total energy**: -3.7498 eV/atom
**Crystal system**: trigonal

Unit cell a=3.0843 b=3.0843 c=32.9235 alpha=90.00 beta=90.00 gamma=120.00
Space group R-3m (No. 166, hexagonal axes)
Asymmetric unit:
Mg: 0.0000 0.0000 0.0977 [6 per cell]
Pa: 0.0000 0.0000 0.0000 [3 per cell]
Ga: 0.0000 0.0000 0.5000 [3 per cell]

---

First-principles (PBE) data for crystalline Li2InRh at its relaxed geometry, as listed in Alexandria via LeMat-Bulk.

**Total moment**: 0.000 μB per cell
**Total energy**: -3.8504 eV/atom
**Crystal system**: tetragonal

Unit cell a=4.438 b=4.438 c=6.397 alpha=90.00 beta=90.00 gamma=90.00
Space group I-4m2 (No. 119)
Asymmetric unit:
Li: 0.000 0.000 0.000 [2 per cell]
Li: 0.000 0.500 0.250 [2 per cell]
In: 0.000 0.000 0.500 [2 per cell]
Rh: 0.000 0.500 0.750 [2 per cell]